Arrangement A

DFT (PBE) results for a geometry-optimized MgSc2PdC structure.

Cell and atoms, written as POSCAR:
```
MgSc2PdC
1.0
4.519 0.000 0.000
0.000 4.519 0.000
0.000 0.000 4.246
Sc Pd Mg C
2 1 1 1
Direct
0.000 0.500 0.000
0.500 0.000 0.000
0.000 0.000 0.500
0.500 0.500 0.500
0.000 0.000 0.000
```

Properties
Symmetry   P4/mmm (123)
Total magnetic moment   0.00 μB/cell


Arrangement B

DFT (PBE) results for a geometry-optimized MgSc2PdC structure.

Cell and atoms, written as POSCAR:
```
MgSc2PdC
1.0
-1.722 0.133 4.140
-0.272 -4.477 0.031
3.945 -0.228 1.648
Sc Mg C Pd
2 1 1 1
Direct
0.000 0.500 0.000
0.500 0.000 0.000
0.000 0.000 0.500
0.000 0.000 0.000
0.500 0.500 0.500
```

Properties
Symmetry   P4/mmm (123)
Total magnetic moment   0.00 μB/cell


Which is most stable? The ranking, best first, is arrangement B, arrangement A.